Entry 1:
## CsTl3Rh (PBE-GGA)

Data for a relaxed CsTl3Rh crystal.

abc: 5.448 5.448 15.139
angles: 79.63 79.63 90.00
Fractional positions:
Cs 0.000 0.000 0.000
Cs 0.250 0.750 0.500
Tl 0.626 0.872 0.256
Tl 0.128 0.374 0.744
Tl 0.128 0.883 0.744
Tl 0.117 0.872 0.256
Tl 0.414 0.414 0.173
Tl 0.586 0.586 0.827
Rh 0.608 0.108 0.785
Rh 0.892 0.392 0.215

Calculated values
**Space group**: I-4m2 (119)
**Formation energy from the elements**: 0.298 eV per atom
**Electronic total energy**: -2.762 eV/atom


Entry 2:
## Li3CrW (PBE-GGA)

Data for a relaxed Li3CrW crystal.

abc: 4.251 4.251 4.251
angles: 90.00 90.00 90.00
Fractional positions:
Cr 0.000 0.000 0.000
W 0.500 0.500 0.500
Li 0.000 0.500 0.000
Li 0.000 0.000 0.500
Li 0.500 0.000 0.000

Calculated values
**Space group**: Pm-3m (221)
**Formation energy from the elements**: 1.595 eV per atom
**Electronic total energy**: -4.069 eV/atom
**Energy above the most stable polymorph in this dataset**: 0 meV/atom


Entry 3:
## CsNa4Sr (PBE-GGA)

Data for a relaxed CsNa4Sr crystal.

abc: 6.237 6.237 9.498
angles: 90.00 90.00 120.00
Fractional positions:
Cs 0.000 0.000 0.500
Na 0.667 0.333 0.810
Na 0.333 0.667 0.190
Na 0.667 0.333 0.190
Na 0.333 0.667 0.810
Sr 0.000 0.000 0.000

Calculated values
**Space group**: P6/mmm (191)
**Formation energy from the elements**: 0.052 eV per atom
**Electronic total energy**: -1.250 eV/atom


Entry 4:
## CsTl2Hg2 (PBE-GGA)

Data for a relaxed CsTl2Hg2 crystal.

abc: 5.225 5.225 7.729
angles: 70.24 70.24 90.00
Fractional positions:
Cs 0.000 0.000 0.000
Tl 0.750 0.250 0.500
Tl 0.250 0.750 0.500
Hg 0.384 0.384 0.231
Hg 0.616 0.616 0.769

Calculated values
**Space group**: I4/mmm (139)
**Formation energy from the elements**: -0.140 eV per atom
**Electronic total energy**: -1.378 eV/atom
**Energy above the most stable polymorph in this dataset**: 0 meV/atom


Entry 5:
## Pm3Se2Cl2 (PBE-GGA)

Data for a relaxed Pm3Se2Cl2 crystal.

abc: 4.125 7.075 6.877
angles: 98.90 89.99 107.03
Fractional positions:
Pm 0.000 0.000 0.000
Pm 0.744 0.488 0.244
Pm 0.256 0.512 0.756
Se 0.878 0.757 0.616
Se 0.122 0.243 0.384
Cl 0.614 0.229 0.851
Cl 0.386 0.771 0.149

Calculated values
**Formation energy from raw total energies**: -1699 meV/atom
**Space group**: P-1 (2)
**Electronic total energy**: -5.258 eV/atom


Entry 6:
## LiGeB (PBE-GGA)

Data for a relaxed LiGeB crystal.

abc: 3.587 3.587 6.717
angles: 74.51 74.51 90.00
Fractional positions:
Ge 0.900 0.900 0.199
Ge 0.100 0.100 0.801
B 0.183 0.683 0.635
B 0.317 0.817 0.365
Li 0.500 0.500 0.000
Li 0.750 0.250 0.500

Calculated values
**Space group**: I-4m2 (119)
**Formation energy from the elements**: 0.108 eV per atom
**Electronic total energy**: -4.295 eV/atom


Entry 7:
## ScIBrO2 (PBE-GGA)

Data for a relaxed ScIBrO2 crystal.

abc: 4.106 4.106 6.719
angles: 90.00 90.00 90.00
Fractional positions:
I 0.000 0.000 0.500
Sc 0.000 0.000 0.000
O 0.000 0.500 0.000
O 0.500 0.000 0.000
Br 0.500 0.500 0.500

Calculated values
**Formation energy from raw total energies**: -1073 meV/atom
**Space group**: P4/mmm (123)
**Electronic total energy**: -4.967 eV/atom
**Energy above the most stable polymorph in this dataset**: 0 meV/atom


Entry 8:
## Ce3Bi2As (PBE-GGA)

Data for a relaxed Ce3Bi2As crystal.

abc: 7.752 7.752 14.091
angles: 100.60 100.60 109.36
Fractional positions:
Ce 0.164 0.681 0.826
Ce 0.662 0.145 0.826
Ce 0.086 0.069 0.674
Ce 0.588 0.605 0.674
Ce 0.021 0.521 0.500
Ce 0.479 0.979 0.500
Ce 0.395 0.412 0.326
Ce 0.931 0.914 0.326
Ce 0.855 0.338 0.174
Ce 0.319 0.836 0.174
Ce 0.229 0.229 0.000
Ce 0.771 0.771 0.000
Bi 0.998 0.498 0.995
Bi 0.420 0.420 0.839
Bi 0.830 0.330 0.661
Bi 0.252 0.252 0.505
Bi 0.748 0.748 0.495
Bi 0.670 0.170 0.339
Bi 0.580 0.580 0.161
Bi 0.502 0.002 0.005
As 0.917 0.917 0.833
As 0.333 0.833 0.667
As 0.167 0.667 0.333
As 0.083 0.083 0.167

Calculated values
**Space group**: Fddd (70)
**Formation energy from the elements**: -0.977 eV per atom
**Electronic total energy**: -6.012 eV/atom
**Energy above the most stable polymorph in this dataset**: 0 meV/atom


Looking at DOS at the Fermi energy for the records above, in order, we have 8.4, 3.4, 5.2, 3.1, 3.4, 1.4, 4.0, 73.2 states/eV/cell.